No. 1
The following is a PBE calculation of an optimized crystal structure of BaAsI3, from the Alexandria database.

Properties
Theoretical density   4.9 g/cm3
Density of states at the Fermi level   1.458 states/eV per cell
Polymorph energy (0 for the lowest one)   0.000 eV per atom

Cell lengths 5.8702, 5.8702, 5.8702 Å; angles 90.00, 90.00, 90.00 degrees
Closest atoms and distances in Å follow each position.
Positions (direct):
Ba 0.0000 0.0000 0.0000  12 I 4.15
As 0.5000 0.5000 0.5000  6 I 2.94
I 0.0000 0.5000 0.5000  2 As 2.94
I 0.5000 0.0000 0.5000  2 As 2.94
I 0.5000 0.5000 0.0000  2 As 2.94

***

No. 2
The following is a PBE calculation of an optimized crystal structure of BaAsI, from the Alexandria database.

Properties
Theoretical density   4.9 g/cm3
Density of states at the Fermi level   1.989 states/eV per cell
Polymorph energy (0 for the lowest one)   0.019 eV per atom

Cell lengths 6.5162, 6.5162, 10.0072 Å; angles 119.57, 119.57, 39.08 degrees
Closest atoms and distances in Å follow each position.
Positions (direct):
Ba 0.0000 0.0000 0.0000  4 I 3.42, 2 As 3.66
Ba 0.0000 0.0000 0.5000  6 As 3.41-3.61, 4 I 3.60
As 0.2386 0.2386 0.4215  2 As 2.61
As 0.7614 0.7614 0.5785  2 As 2.61
I 0.3905 0.3905 0.1672  4 Ba 3.42-3.60
I 0.6095 0.6095 0.8328  4 Ba 3.42-3.60

***

No. 3
The following is a PBE calculation of an optimized crystal structure of BaAs3I, from the Alexandria database.

Properties
Theoretical density   3.7 g/cm3
Density of states at the Fermi level   11.580 states/eV per cell
Polymorph energy (0 for the lowest one)   0.803 eV per atom

Cell lengths 6.0267, 6.0267, 6.0267 Å; angles 90.00, 90.00, 90.00 degrees
Closest atoms and distances in Å follow each position.
Positions (direct):
Ba 0.0000 0.0000 0.0000  6 As 3.01
As 0.0000 0.0000 0.5000  2 Ba 3.01
As 0.0000 0.5000 0.0000  2 Ba 3.01
As 0.5000 0.0000 0.0000  2 Ba 3.01
I 0.5000 0.5000 0.5000  12 As 4.26

***

No. 4
The following is a PBE calculation of an optimized crystal structure of BaAs2I8, from the Alexandria database.

Properties
Total energy   -2.69 eV/atom
Theoretical density   3.3 g/cm3
Density of states at the Fermi level   0.000 states/eV per cell

Cell lengths 9.2328, 9.2328, 8.1915 Å; angles 102.11, 102.11, 79.89 degrees
Closest atoms and distances in Å follow each position.
Positions (direct):
Ba 0.0000 0.0000 0.0000  6 I 3.49-3.50
As 0.1926 0.1926 0.6563  4 I 2.61-2.86
As 0.8074 0.8074 0.3437  4 I 2.61-2.86
I 0.0737 0.7036 0.2237  1 As 2.78
I 0.2196 0.2196 0.3232  1 As 2.86
I 0.2964 0.9263 0.7763  1 As 2.78
I 0.3757 0.3757 0.8376  1 As 2.61
I 0.6243 0.6243 0.1624  1 As 2.61
I 0.7036 0.0737 0.2237  1 As 2.78
I 0.7804 0.7804 0.6768  1 As 2.86
I 0.9263 0.2964 0.7763  1 As 2.78

***

No. 5
The following is a PBE calculation of an optimized crystal structure of Ba8As3I4, from the Alexandria database.

Properties
Total energy   -3.62 eV/atom
Theoretical density   4.1 g/cm3
Density of states at the Fermi level   11.141 states/eV per cell

Cell lengths 10.6048, 10.6048, 10.6048 Å; angles 54.41, 54.41, 54.41 degrees
Closest atoms and distances in Å follow each position.
Positions (direct):
Ba 0.2117 0.7448 0.7448  2 As 3.26, 2 I 3.49-3.65
Ba 0.2277 0.2277 0.2277  3 As 3.25, 1 I 3.44
Ba 0.2552 0.2552 0.7883  2 As 3.26, 2 I 3.49-3.65
Ba 0.2552 0.7883 0.2552  2 As 3.26, 2 I 3.49-3.65
Ba 0.7448 0.2117 0.7448  2 As 3.26, 2 I 3.49-3.65
Ba 0.7448 0.7448 0.2117  2 As 3.26, 2 I 3.49-3.65
Ba 0.7723 0.7723 0.7723  3 As 3.25, 1 I 3.44
Ba 0.7883 0.2552 0.2552  2 As 3.26, 2 I 3.49-3.65
As 0.0000 0.0000 0.5000  6 Ba 3.25-3.26
As 0.0000 0.5000 0.0000  6 Ba 3.25-3.26
As 0.5000 0.0000 0.0000  6 Ba 3.25-3.26
I 0.0000 0.0000 0.0000  6 Ba 3.75
I 0.3551 0.3551 0.3551  4 Ba 3.44-3.65
I 0.5000 0.5000 0.5000  6 Ba 3.49
I 0.6449 0.6449 0.6449  4 Ba 3.44-3.65

***

No. 6
The following is a PBE calculation of an optimized crystal structure of Ba4As2I3, from the Alexandria database.

Properties
Total energy   -3.74 eV/atom
Theoretical density   4.3 g/cm3
Density of states at the Fermi level   4.776 states/eV per cell

Cell lengths 9.1078, 9.1078, 10.4250 Å; angles 101.54, 101.54, 29.73 degrees
Closest atoms and distances in Å follow each position.
Positions (direct):
Ba 0.0866 0.0866 0.1917  2 As 3.22
Ba 0.3345 0.3345 0.3868  3 As 3.24-3.25, 1 I 3.58
Ba 0.6655 0.6655 0.6132  3 As 3.24-3.25, 1 I 3.58
Ba 0.9134 0.9134 0.8083  2 As 3.22
As 0.2964 0.2964 0.6777  5 Ba 3.22-3.25
As 0.7036 0.7036 0.3223  5 Ba 3.22-3.25
I 0.0000 0.0000 0.5000  6 Ba 3.73-3.83
I 0.4168 0.4168 0.1004  5 Ba 3.58-3.83, 1 I 3.94
I 0.5832 0.5832 0.8996  5 Ba 3.58-3.83, 1 I 3.94

***

No. 7
The following is a PBE calculation of an optimized crystal structure of Ba4As2I5, from the Alexandria database.

Properties
Theoretical density   3.8 g/cm3
Density of states at the Fermi level   2.566 states/eV per cell
Polymorph energy (0 for the lowest one)   0.025 eV per atom

Cell lengths 10.8411, 10.8411, 11.1598 Å; angles 107.75, 107.75, 28.12 degrees
Closest atoms and distances in Å follow each position.
Positions (direct):
Ba 0.0096 0.0096 0.2771  2 As 3.22, 2 I 3.45-3.56
Ba 0.3448 0.3448 0.9141  2 As 3.30-3.34, 5 I 3.51-3.63
Ba 0.6552 0.6552 0.0859  2 As 3.30-3.34, 5 I 3.51-3.63
Ba 0.9904 0.9904 0.7229  2 As 3.22, 2 I 3.45-3.56
As 0.5002 0.5002 0.1059  1 As 2.36
As 0.4998 0.4998 0.8941  1 As 2.36
I 0.1668 0.1668 0.8732  4 Ba 3.56-3.63
I 0.1774 0.1774 0.3028  3 Ba 3.45-3.51
I 0.5000 0.5000 0.5000  4 Ba 3.67
I 0.8226 0.8226 0.6972  3 Ba 3.45-3.51
I 0.8332 0.8332 0.1268  4 Ba 3.56-3.63

***

No. 8
The following is a PBE calculation of an optimized crystal structure of Ba4AsI3, from the Alexandria database.

Properties
Total energy   -3.52 eV/atom
Theoretical density   4.8 g/cm3
Density of states at the Fermi level   9.185 states/eV per cell

Cell lengths 8.7320, 9.8928, 8.4507 Å; angles 90.00, 109.25, 90.00 degrees
Closest atoms and distances in Å follow each position.
Positions (direct):
Ba 0.2154 0.1085 0.0003  2 As 3.26-3.28, 2 I 3.51-3.55
Ba 0.2154 0.8915 0.5003  2 As 3.26-3.28, 2 I 3.51-3.55
Ba 0.2256 0.3560 0.4783  1 As 3.21, 4 I 3.49-3.54
Ba 0.2256 0.6440 0.9783  1 As 3.21, 4 I 3.49-3.54
Ba 0.7744 0.3560 0.0217  1 As 3.21, 4 I 3.49-3.54
Ba 0.7744 0.6440 0.5217  1 As 3.21, 4 I 3.49-3.54
Ba 0.7846 0.1085 0.4997  2 As 3.26-3.28, 2 I 3.51-3.55
Ba 0.7846 0.8915 0.9997  2 As 3.26-3.28, 2 I 3.51-3.55
As 0.0000 0.1253 0.2500  6 Ba 3.21-3.28
As 0.0000 0.8747 0.7500  6 Ba 3.21-3.28
I 0.0000 0.3745 0.7500  6 Ba 3.49-3.51
I 0.0000 0.6255 0.2500  6 Ba 3.49-3.51
I 0.5000 0.1272 0.7500  6 Ba 3.54-3.76
I 0.5000 0.3777 0.2500  6 Ba 3.54-3.78
I 0.5000 0.6223 0.7500  6 Ba 3.54-3.78
I 0.5000 0.8728 0.2500  6 Ba 3.54-3.76

***

No. 9
The following is a PBE calculation of an optimized crystal structure of Ba2AsI, from the Alexandria database.

Properties
Total energy   -3.96 eV/atom
Theoretical density   4.6 g/cm3

Cell lengths 9.0860, 9.0860, 9.0860 Å; angles 30.61, 30.61, 30.61 degrees
Closest atoms and distances in Å follow each position.
Positions (direct):
Ba 0.0000 0.0000 0.0000  3 As 3.27
Ba 0.1989 0.1989 0.1989  3 As 3.28
As 0.5996 0.5996 0.5996  6 Ba 3.27-3.28
I 0.4308 0.4308 0.4308  6 Ba 3.75-3.82

***

No. 10
The following is a PBE calculation of an optimized crystal structure of Ba2AsI, from the Alexandria database.

Properties
Total energy   -3.76 eV/atom
Theoretical density   5.5 g/cm3
Density of states at the Fermi level   0.000 states/eV per cell

Cell lengths 5.8985, 5.8985, 5.8985 Å; angles 60.00, 60.00, 60.00 degrees
Closest atoms and distances in Å follow each position.
Positions (direct):
Ba 0.2500 0.2500 0.2500  4 As 3.61, 4 I 3.61
Ba 0.7500 0.7500 0.7500  4 As 3.61, 4 I 3.61
As 0.0000 0.0000 0.0000  8 Ba 3.61
I 0.5000 0.5000 0.5000  8 Ba 3.61